The following is a GGA-PBE calculation of a relaxed Tb2Pm5SmTh crystal, from Alexandria.

Lattice parameters (Å, degrees): 5.7043 10.6130 10.5670 90.00 90.00 105.59
Atoms (fractional coordinates):
Pm: 0.6113 0.2226 0.5269
Pm: 0.2768 0.5536 0.3139
Pm: 0.5217 0.0434 0.2419
Pm: 0.4783 0.9566 0.7419
Pm: 0.7232 0.4464 0.8139
Pm: 0.2943 0.5885 0.7045
Pm: 0.7057 0.4115 0.2045
Pm: 0.3887 0.7774 0.0269
Pm: 0.0157 0.0314 0.0214
Pm: 0.9843 0.9686 0.5214
Th: 0.8007 0.6015 0.5124
Th: 0.1993 0.3985 0.0124
Tb: 0.1161 0.2322 0.3186
Tb: 0.8865 0.7730 0.2337
Tb: 0.1135 0.2270 0.7337
Tb: 0.8839 0.7678 0.8186
Sm: 0.4091 0.8181 0.4506
Sm: 0.5909 0.1819 0.9506

Output
Formation enthalpy at 0 K in eV per atom: 0.16

=====

The following is a GGA-PBE calculation of a relaxed RbSiSb2I crystal, from Alexandria.

Lattice parameters (Å, degrees): 5.2450 5.2450 7.0454 90.00 90.00 90.00
Atoms (fractional coordinates):
Sb: 0.5000 0.0000 0.0000
Sb: 0.0000 0.5000 0.0000
Si: 0.0000 0.0000 0.0000
Rb: 0.5000 0.5000 0.5000
I: 0.0000 0.0000 0.5000

Output
Distance to the lowest polymorph of the same formula in eV/atom: 0.000
E_form (uncorrected) in eV per atom: 0.061

=====

Number 1: energy -4.86 eV/atom. Number 2: energy -3.18 eV/atom.